# HfHg2 | Alexandria | PBE | relaxed
# **Symmetry**: I4/mmm
# **ΔH_f (0 K)**: 0.017 eV per atom
# **D(E_F)**: 1.8 states/eV/cell
# **VASP energy**: -0.257 Ry per atom
data_HfHg2
_cell_length_a 3.2177
_cell_length_b 3.2177
_cell_length_c 6.6550
_cell_angle_alpha 103.99
_cell_angle_beta 103.99
_cell_angle_gamma 90.00
_space_group_name_H-M_alt 'P 1'
_space_group_IT_number 1
loop_
_space_group_symop_operation_xyz
'x,y,z'
loop_
_atom_site_label
_atom_site_fract_x
_atom_site_fract_y
_atom_site_fract_z
Hg1 0.3383 0.3383 0.6766
Hg2 0.6617 0.6617 0.3234
Hf1 0.0000 0.0000 0.0000

=====

# Hf3Hg | Alexandria | PBE | relaxed
# **Symmetry**: I4/mmm
# **ΔH_f (0 K)**: -0.034 eV per atom
# **D(E_F)**: 3.2 states/eV/cell
# **VASP energy**: -0.557 Ry per atom
data_Hf3Hg
_cell_length_a 5.5161
_cell_length_b 5.5161
_cell_length_c 5.5161
_cell_angle_alpha 133.95
_cell_angle_beta 133.95
_cell_angle_gamma 67.17
_space_group_name_H-M_alt 'P 1'
_space_group_IT_number 1
loop_
_space_group_symop_operation_xyz
'x,y,z'
loop_
_atom_site_label
_atom_site_fract_x
_atom_site_fract_y
_atom_site_fract_z
Hf1 0.2500 0.7500 0.5000
Hf2 0.5000 0.5000 0.0000
Hf3 0.7500 0.2500 0.5000
Hg1 0.0000 0.0000 0.0000

=====

# Hf5Hg2 | Alexandria | PBE | relaxed
# **Symmetry**: I4/mmm
# **ΔH_f (0 K)**: 0.047 eV per atom
# **D(E_F)**: 6.4 states/eV/cell
# **VASP energy**: -0.525 Ry per atom
data_Hf5Hg2
_cell_length_a 3.7049
_cell_length_b 3.7049
_cell_length_c 11.5290
_cell_angle_alpha 99.25
_cell_angle_beta 99.25
_cell_angle_gamma 90.00
_space_group_name_H-M_alt 'P 1'
_space_group_IT_number 1
loop_
_space_group_symop_operation_xyz
'x,y,z'
loop_
_atom_site_label
_atom_site_fract_x
_atom_site_fract_y
_atom_site_fract_z
Hf1 0.8580 0.8580 0.7159
Hf2 0.4324 0.4324 0.8649
Hf3 0.1420 0.1420 0.2841
Hf4 0.5676 0.5676 0.1351
Hf5 0.0000 0.0000 0.0000
Hg1 0.2872 0.2872 0.5743
Hg2 0.7128 0.7128 0.4257

=====

# HfHg5 | Alexandria | PBE | relaxed
# **Symmetry**: Cmmm
# **ΔH_f (0 K)**: 0.093 eV per atom
# **D(E_F)**: 3.6 states/eV/cell
# **VASP energy**: -0.134 Ry per atom
data_HfHg5
_cell_length_a 3.1330
_cell_length_b 5.3035
_cell_length_c 9.1355
_cell_angle_alpha 106.87
_cell_angle_beta 90.00
_cell_angle_gamma 90.00
_space_group_name_H-M_alt 'P 1'
_space_group_IT_number 1
loop_
_space_group_symop_operation_xyz
'x,y,z'
loop_
_atom_site_label
_atom_site_fract_x
_atom_site_fract_y
_atom_site_fract_z
Hg1 0.0000 0.3098 0.6195
Hg2 0.5000 0.5000 0.0000
Hg3 0.5000 0.8559 0.7118
Hg4 0.5000 0.1441 0.2882
Hg5 0.0000 0.6902 0.3805
Hf1 0.0000 0.0000 0.0000

=====

# Hf3Hg | Alexandria | PBE | relaxed
# **Symmetry**: Pmm2
# **ΔH_f (0 K)**: 0.202 eV per atom
# **D(E_F)**: 4.5 states/eV/cell
# **VASP energy**: -0.539 Ry per atom
data_Hf3Hg
_cell_length_a 3.0689
_cell_length_b 3.0467
_cell_length_c 9.7988
_cell_angle_alpha 90.00
_cell_angle_beta 90.00
_cell_angle_gamma 90.00
_space_group_name_H-M_alt 'P 1'
_space_group_IT_number 1
loop_
_space_group_symop_operation_xyz
'x,y,z'
loop_
_atom_site_label
_atom_site_fract_x
_atom_site_fract_y
_atom_site_fract_z
Hf1 0.5000 0.5000 0.1965
Hf2 0.0000 0.5000 0.4732
Hf3 0.5000 0.0000 0.6956
Hg1 0.0000 0.0000 0.9681

=====

# HfHg4 | Alexandria | PBE | relaxed
# **Symmetry**: Pm-3m
# **ΔH_f (0 K)**: 0.542 eV per atom
# **D(E_F)**: 6.0 states/eV/cell
# **VASP energy**: -0.124 Ry per atom
data_HfHg4
_cell_length_a 5.6703
_cell_length_b 5.6703
_cell_length_c 5.6703
_cell_angle_alpha 90.00
_cell_angle_beta 90.00
_cell_angle_gamma 90.00
_space_group_name_H-M_alt 'P 1'
_space_group_IT_number 1
loop_
_space_group_symop_operation_xyz
'x,y,z'
loop_
_atom_site_label
_atom_site_fract_x
_atom_site_fract_y
_atom_site_fract_z
Hg1 0.0000 0.5000 0.5000
Hg2 0.5000 0.0000 0.5000
Hg3 0.5000 0.5000 0.0000
Hg4 0.0000 0.0000 0.0000
Hf1 0.5000 0.5000 0.5000

=====

# Hf3Hg2 | Alexandria | PBE | relaxed
# **Symmetry**: P4/mmm
# **ΔH_f (0 K)**: -0.057 eV per atom
# **D(E_F)**: 9.8 states/eV/cell
# **VASP energy**: -0.452 Ry per atom
data_Hf3Hg2
_cell_length_a 3.1889
_cell_length_b 3.1889
_cell_length_c 20.9900
_cell_angle_alpha 90.00
_cell_angle_beta 90.00
_cell_angle_gamma 90.00
_space_group_name_H-M_alt 'P 1'
_space_group_IT_number 1
loop_
_space_group_symop_operation_xyz
'x,y,z'
loop_
_atom_site_label
_atom_site_fract_x
_atom_site_fract_y
_atom_site_fract_z
Hf1 0.0000 0.0000 0.6984
Hf2 0.0000 0.0000 0.5000
Hf3 0.0000 0.0000 0.8983
Hf4 0.5000 0.5000 0.0000
Hf5 0.0000 0.0000 0.3016
Hf6 0.0000 0.0000 0.1017
Hg1 0.5000 0.5000 0.4010
Hg2 0.5000 0.5000 0.2036
Hg3 0.5000 0.5000 0.7964
Hg4 0.5000 0.5000 0.5990

=====

# Hf4Hg | Alexandria | PBE | relaxed
# **Excess energy over the best structure of this formula in the dataset**: 1066 meV/atom
# **Symmetry**: Pm-3m
# **ΔH_f (0 K)**: 1.205 eV per atom
# **D(E_F)**: 8.2 states/eV/cell
# **VASP energy**: -0.501 Ry per atom
data_Hf4Hg
_cell_length_a 5.1754
_cell_length_b 5.1754
_cell_length_c 5.1754
_cell_angle_alpha 90.00
_cell_angle_beta 90.00
_cell_angle_gamma 90.00
_space_group_name_H-M_alt 'P 1'
_space_group_IT_number 1
loop_
_space_group_symop_operation_xyz
'x,y,z'
loop_
_atom_site_label
_atom_site_fract_x
_atom_site_fract_y
_atom_site_fract_z
Hf1 0.0000 0.0000 0.0000
Hf2 0.5000 0.0000 0.5000
Hf3 0.5000 0.5000 0.0000
Hf4 0.0000 0.5000 0.5000
Hg1 0.5000 0.5000 0.5000

=====

# HfHg2 | Alexandria | PBE | relaxed
# **Symmetry**: P4/nmm
# **ΔH_f (0 K)**: 0.050 eV per atom
# **D(E_F)**: 2.8 states/eV/cell
# **VASP energy**: -0.255 Ry per atom
data_HfHg2
_cell_length_a 3.6453
_cell_length_b 3.6453
_cell_length_c 10.1893
_cell_angle_alpha 90.00
_cell_angle_beta 90.00
_cell_angle_gamma 90.00
_space_group_name_H-M_alt 'P 1'
_space_group_IT_number 1
loop_
_space_group_symop_operation_xyz
'x,y,z'
loop_
_atom_site_label
_atom_site_fract_x
_atom_site_fract_y
_atom_site_fract_z
Hf1 0.5000 0.0000 0.9145
Hf2 0.0000 0.5000 0.0855
Hg1 0.5000 0.0000 0.5930
Hg2 0.0000 0.5000 0.4070
Hg3 0.5000 0.0000 0.2373
Hg4 0.0000 0.5000 0.7627

=====

# Ho2HfHg | Alexandria | PBE | relaxed
# **Excess energy over the best structure of this formula in the dataset**: 440 meV/atom
# **Symmetry**: R-3m
# **ΔH_f (0 K)**: 0.266 eV per atom
# **D(E_F)**: 6.8 states/eV/cell
# **VASP energy**: -0.337 Ry per atom
data_Ho2HfHg
_cell_length_a 3.2945
_cell_length_b 3.2945
_cell_length_c 11.6369
_cell_angle_alpha 81.86
_cell_angle_beta 81.86
_cell_angle_gamma 60.00
_space_group_name_H-M_alt 'P 1'
_space_group_IT_number 1
loop_
_space_group_symop_operation_xyz
'x,y,z'
loop_
_atom_site_label
_atom_site_fract_x
_atom_site_fract_y
_atom_site_fract_z
Hg1 0.5000 0.5000 0.5000
Hf1 0.0000 0.0000 0.0000
Ho1 0.0923 0.0923 0.7232
Ho2 0.9077 0.9077 0.2768

=====

# Ho2HfHg | Alexandria | PBE | relaxed
# **Excess energy over the best structure of this formula in the dataset**: 0 meV/atom
# **Symmetry**: P4/mmm
# **ΔH_f (0 K)**: -0.174 eV per atom
# **D(E_F)**: 4.1 states/eV/cell
# **VASP energy**: -0.369 Ry per atom
data_Ho2HfHg
_cell_length_a 3.4260
_cell_length_b 3.4260
_cell_length_c 8.7853
_cell_angle_alpha 90.00
_cell_angle_beta 90.00
_cell_angle_gamma 90.00
_space_group_name_H-M_alt 'P 1'
_space_group_IT_number 1
loop_
_space_group_symop_operation_xyz
'x,y,z'
loop_
_atom_site_label
_atom_site_fract_x
_atom_site_fract_y
_atom_site_fract_z
Hf1 0.5000 0.5000 0.5000
Ho1 0.0000 0.0000 0.2434
Ho2 0.0000 0.0000 0.7566
Hg1 0.5000 0.5000 0.0000

=====

# HoHfInHg | Alexandria | PBE | relaxed
# **Symmetry**: F-43m
# **ΔH_f (0 K)**: -0.185 eV per atom
# **D(E_F)**: 3.8 states/eV/cell
# **VASP energy**: -0.336 Ry per atom
data_HoHfInHg
_cell_length_a 5.1010
_cell_length_b 5.1010
_cell_length_c 5.1010
_cell_angle_alpha 60.00
_cell_angle_beta 60.00
_cell_angle_gamma 60.00
_space_group_name_H-M_alt 'P 1'
_space_group_IT_number 1
loop_
_space_group_symop_operation_xyz
'x,y,z'
loop_
_atom_site_label
_atom_site_fract_x
_atom_site_fract_y
_atom_site_fract_z
Ho1 0.0000 0.0000 0.0000
In1 0.2500 0.2500 0.2500
Hg1 0.7500 0.7500 0.7500
Hf1 0.5000 0.5000 0.5000

=====

# HoHfHgPb | Alexandria | PBE | relaxed
# **Symmetry**: F-43m
# **ΔH_f (0 K)**: -0.102 eV per atom
# **D(E_F)**: 3.5 states/eV/cell
# **VASP energy**: -0.348 Ry per atom
data_HoHfHgPb
_cell_length_a 5.1676
_cell_length_b 5.1676
_cell_length_c 5.1676
_cell_angle_alpha 60.00
_cell_angle_beta 60.00
_cell_angle_gamma 60.00
_space_group_name_H-M_alt 'P 1'
_space_group_IT_number 1
loop_
_space_group_symop_operation_xyz
'x,y,z'
loop_
_atom_site_label
_atom_site_fract_x
_atom_site_fract_y
_atom_site_fract_z
Hg1 0.7500 0.7500 0.7500
Pb1 0.2500 0.2500 0.2500
Hf1 0.5000 0.5000 0.5000
Ho1 0.0000 0.0000 0.0000